[1]
AlI2BrO: relaxed, PBE-GGA.

Output
N(E_F), states/eV/cell: 2.92
VASP energy, eV per formula unit: -16.83
ΔE_f (raw), eV per atom: -0.671
ΔE to the lowest computed polymorph, meV/atom: 0

Cell lengths 6.124, 6.124, 3.382 Å; angles 90.00, 90.00, 90.00 degrees
Sites, in units of the cell vectors:
I 0.000 0.500 0.000
I 0.500 0.000 0.000
O 0.000 0.000 0.500
Al 0.000 0.000 0.000
Br 0.500 0.500 0.500

---

[2]
Pm3ErTc: relaxed, PBE-GGA.

Output
Calculated formation energy, eV/f.u.: -0.030
N(E_F), states/eV/cell: 9.76
VASP energy, eV per formula unit: -29.21
ΔE to the lowest computed polymorph, meV/atom: 0

Cell lengths 3.955, 6.438, 12.354 Å; angles 82.51, 80.79, 72.11 degrees
Sites, in units of the cell vectors:
Pm 0.454 0.945 0.148
Pm 0.763 0.712 0.762
Pm 0.094 0.189 0.624
Pm 0.989 0.119 0.904
Pm 0.777 0.060 0.386
Pm 0.427 0.632 0.513
Er 0.114 0.494 0.278
Er 0.236 0.521 0.007
Tc 0.784 0.282 0.151
Tc 0.424 0.383 0.768

---

[3]
Na2MgF: relaxed, PBE-GGA.

Output
N(E_F), states/eV/cell: 4.75
VASP energy, eV per formula unit: -10.47
ΔE_f (raw), eV per atom: -1.091
ΔE to the lowest computed polymorph, meV/atom: 0

Cell lengths 6.939, 6.939, 6.663 Å; angles 58.62, 58.62, 90.00 degrees
Sites, in units of the cell vectors:
Na 0.470 0.125 0.250
Na 0.280 0.625 0.250
Na 0.375 0.530 0.750
Na 0.875 0.720 0.750
Mg 0.000 0.000 0.000
Mg 0.750 0.250 0.500
F 0.500 0.500 0.000
F 0.250 0.750 0.500

---

[4]
HfTi2H: relaxed, PBE-GGA.

Output
N(E_F), states/eV/cell: 4.52
VASP energy, eV per formula unit: -28.37
ΔE to the lowest computed polymorph, meV/atom: 304

Cell lengths 2.846, 2.846, 7.230 Å; angles 90.00, 90.00, 90.00 degrees
Sites, in units of the cell vectors:
H 0.500 0.500 0.000
Hf 0.500 0.500 0.500
Ti 0.000 0.000 0.823
Ti 0.000 0.000 0.177

---

[5]
RbTePt2: relaxed, PBE-GGA.

Output
N(E_F), states/eV/cell: 1.44
VASP energy, eV per formula unit: -17.49
ΔE_f (raw), eV per atom: -0.324

Cell lengths 5.504, 5.504, 9.460 Å; angles 73.09, 73.09, 90.00 degrees
Sites, in units of the cell vectors:
Te 0.000 0.000 0.000
Te 0.750 0.250 0.500
Rb 0.500 0.500 0.000
Rb 0.250 0.750 0.500
Pt 0.856 0.125 0.250
Pt 0.894 0.625 0.250
Pt 0.375 0.144 0.750
Pt 0.875 0.106 0.750

---

[6]
SmHoGaRu: relaxed, PBE-GGA.

Output
Calculated formation energy, eV/f.u.: -1.634
N(E_F), states/eV/cell: 2.31
VASP energy, eV per formula unit: -23.23
ΔE to the lowest computed polymorph, meV/atom: 50

Cell lengths 4.976, 4.976, 4.976 Å; angles 60.00, 60.00, 60.00 degrees
Sites, in units of the cell vectors:
Ru 0.750 0.750 0.750
Ga 0.250 0.250 0.250
Ho 0.500 0.500 0.500
Sm 0.000 0.000 0.000